CaLaTe2I: relaxed, PBE.

Unit cell a=5.868 b=5.868 c=5.632 alpha=90.00 beta=90.00 gamma=90.00
Site moments in Bohr magnetons follow the coordinates.
Fractional positions:
Te 0.500 0.000 0.000  -0.01
I 0.000 0.000 0.500  0.00
Te 0.000 0.500 0.000  -0.01
La 0.500 0.500 0.500  0.20
Ca 0.000 0.000 0.000  0.00

- Spin magnetization: 0.2 μB/cell
- Uncorrected formation energy: -4.3 eV per formula unit
- Calculated density: 4805 kg/m³
- Calculated volume: 38.78 A^3/atom
- Density of states at the Fermi level: 7.90 states/eV/f.u.

***

LiCaI3: relaxed, PBE.

Unit cell a=4.615 b=7.919 c=13.216 alpha=123.68 beta=90.00 gamma=90.00
Fractional positions:
I 0.250 0.607 0.671
Li 0.750 0.793 0.401
Ca 0.250 0.091 0.172
I 0.250 0.221 0.986
I 0.750 0.393 0.329
I 0.250 0.919 0.342
Li 0.250 0.207 0.599
Ca 0.750 0.909 0.828
I 0.750 0.081 0.658
I 0.750 0.779 0.014

- Spin magnetization: 0.0 μB/cell
- Uncorrected formation energy: -7.2 eV per formula unit
- Calculated density: 3534 kg/m³
- Calculated volume: 40.20 A^3/atom
- Density of states at the Fermi level: 0.00 states/eV/f.u.

***

Li5Ca3I12: relaxed, PBE.

Unit cell a=15.427 b=15.427 c=15.427 alpha=109.47 beta=109.47 gamma=109.47
Fractional positions:
I 0.716 0.125 0.036
Li 0.000 0.500 0.500
I 0.464 0.784 0.875
Li 0.250 0.375 0.625
Li 0.250 0.875 0.125
I 0.320 0.784 0.409
I 0.716 0.591 0.180
I 0.091 0.180 0.216
I 0.125 0.716 0.536
Li 0.750 0.125 0.875
I 0.911 0.820 0.536
I 0.089 0.909 0.125
Ca 0.375 0.625 0.250
Li 0.500 0.500 0.500
Li 0.125 0.750 0.375
I 0.091 0.911 0.375
I 0.964 0.375 0.284
Li 0.500 0.000 0.500
Li 0.625 0.750 0.875
I 0.909 0.089 0.625
I 0.820 0.909 0.284
Li 0.125 0.375 0.250
Ca 0.125 0.875 0.750
I 0.180 0.091 0.716
Li 0.500 0.500 0.000
I 0.784 0.464 0.375
Li 0.875 0.625 0.750
I 0.036 0.411 0.820
I 0.216 0.536 0.625
I 0.036 0.625 0.716
I 0.820 0.911 0.036
I 0.464 0.680 0.089
I 0.089 0.180 0.464
Ca 0.750 0.875 0.625
I 0.284 0.409 0.820
I 0.536 0.320 0.911
I 0.589 0.625 0.409
I 0.909 0.820 0.784
I 0.680 0.216 0.591
Ca 0.375 0.750 0.625
I 0.911 0.091 0.875
Li 0.000 0.000 0.000
I 0.411 0.375 0.591
Ca 0.875 0.750 0.125
Li 0.375 0.125 0.750
I 0.875 0.591 0.911
I 0.180 0.089 0.964
Li 0.625 0.875 0.250
I 0.216 0.680 0.091
Ca 0.125 0.250 0.875
I 0.589 0.964 0.680
I 0.409 0.284 0.320
Li 0.875 0.250 0.625
I 0.784 0.320 0.909
I 0.680 0.464 0.589
Ca 0.250 0.125 0.375
I 0.125 0.409 0.089
Ca 0.625 0.375 0.750
I 0.625 0.589 0.909
Ca 0.875 0.125 0.250
Li 0.000 0.000 0.500
Ca 0.750 0.375 0.125
I 0.536 0.216 0.125
Ca 0.250 0.625 0.875
I 0.375 0.411 0.091
Li 0.375 0.250 0.125
Ca 0.625 0.250 0.375
I 0.591 0.716 0.680
Li 0.750 0.625 0.375
I 0.591 0.875 0.411
I 0.320 0.536 0.411
Li 0.500 0.000 0.000
I 0.964 0.589 0.180
I 0.411 0.036 0.320
I 0.409 0.125 0.589
I 0.375 0.964 0.784
I 0.625 0.036 0.216
I 0.284 0.875 0.964
I 0.875 0.284 0.464
Li 0.000 0.500 0.000

- Spin magnetization: 0.0 μB/cell
- Uncorrected formation energy: -24.2 eV per formula unit
- Calculated density: 3943 kg/m³
- Calculated volume: 35.33 A^3/atom
- Density of states at the Fermi level: 23.24 states/eV/f.u.

***

LiCaI: relaxed, PBE.

Unit cell a=7.373 b=8.620 c=8.620 alpha=56.96 beta=69.88 gamma=69.88
Fractional positions:
Li 0.435 0.056 0.806
Ca 0.053 0.974 0.224
I 0.252 0.629 0.879
I 0.748 0.371 0.121
Ca 0.947 0.526 0.276
Li 0.565 0.444 0.694
Li 0.435 0.556 0.306
Ca 0.947 0.026 0.776
I 0.252 0.129 0.379
Li 0.565 0.944 0.194
I 0.748 0.871 0.621
Ca 0.053 0.474 0.724

- Spin magnetization: 0.0 μB/cell
- Uncorrected formation energy: -2.0 eV per formula unit
- Calculated density: 2733 kg/m³
- Calculated volume: 35.22 A^3/atom
- Density of states at the Fermi level: 0.89 states/eV/f.u.